No. 1
! PBE TcGe4Ru, optimized geometry; values from VASP
&SYSTEM
  ibrav = 0, nat = 12, ntyp = 3
/
ATOMIC_SPECIES
Tc 98.00 Tc.upf
Ge 72.64 Ge.upf
Ru 101.07 Ru.upf
CELL_PARAMETERS angstrom
5.6370 0.0000 0.0000
0.0000 5.8615 0.0000
0.0000 0.0000 7.1205
ATOMIC_POSITIONS crystal
Tc 0.0000 0.0000 0.0000
Tc 0.0000 0.5000 0.5000
Ge 0.1579 0.2320 0.7321
Ge 0.1579 0.2680 0.2321
Ge 0.3390 0.7316 0.6030
Ge 0.3390 0.7684 0.1030
Ge 0.6610 0.2316 0.1030
Ge 0.6610 0.2684 0.6030
Ge 0.8421 0.7320 0.2321
Ge 0.8421 0.7680 0.7321
Ru 0.5000 0.0000 0.8309
Ru 0.5000 0.5000 0.3309
! VASP energy (eV/atom): -6.405
! Symmetry: No. 30
! DFT formation energy (kJ/mol of formula units): -31

---

No. 2
! PBE TcGe2Ru, optimized geometry; values from VASP
&SYSTEM
  ibrav = 0, nat = 4, ntyp = 3
/
ATOMIC_SPECIES
Tc 98.00 Tc.upf
Ge 72.64 Ge.upf
Ru 101.07 Ru.upf
CELL_PARAMETERS angstrom
4.3161 0.0000 0.0000
0.0000 4.3161 0.0000
0.0000 0.0000 3.0525
ATOMIC_POSITIONS crystal
Tc 0.0000 0.0000 0.0000
Ge 0.0000 0.5000 0.5000
Ge 0.5000 0.0000 0.5000
Ru 0.5000 0.5000 0.0000
! VASP energy (eV/atom): -7.380
! Symmetry: No. 123
! DFT formation energy (kJ/mol of formula units): -62
! Energy relative to the lowest polymorph listed for this composition (kJ/mol of formula units): 0

---

No. 3
! PBE TcGe2Ru, optimized geometry; values from VASP
&SYSTEM
  ibrav = 0, nat = 16, ntyp = 3
/
ATOMIC_SPECIES
Tc 98.00 Tc.upf
Ge 72.64 Ge.upf
Ru 101.07 Ru.upf
CELL_PARAMETERS angstrom
6.1485 0.0000 0.0000
0.0000 6.1485 0.0000
0.0000 0.0000 6.1485
ATOMIC_POSITIONS crystal
Tc 0.0000 0.0000 0.0000
Tc 0.0000 0.5000 0.5000
Tc 0.5000 0.0000 0.5000
Tc 0.5000 0.5000 0.0000
Ge 0.2500 0.2500 0.2500
Ge 0.2500 0.2500 0.7500
Ge 0.2500 0.7500 0.2500
Ge 0.2500 0.7500 0.7500
Ge 0.7500 0.2500 0.2500
Ge 0.7500 0.2500 0.7500
Ge 0.7500 0.7500 0.2500
Ge 0.7500 0.7500 0.7500
Ru 0.0000 0.0000 0.5000
Ru 0.0000 0.5000 0.0000
Ru 0.5000 0.0000 0.0000
Ru 0.5000 0.5000 0.5000
! VASP energy (eV/atom): -7.371
! Symmetry: No. 225
! DFT formation energy (kJ/mol of formula units): -59
! Energy relative to the lowest polymorph listed for this composition (kJ/mol of formula units): 4

---

No. 4
! PBE TcGe4Ru2, optimized geometry; values from VASP
&SYSTEM
  ibrav = 0, nat = 14, ntyp = 3
/
ATOMIC_SPECIES
Tc 98.00 Tc.upf
Ge 72.64 Ge.upf
Ru 101.07 Ru.upf
CELL_PARAMETERS angstrom
4.7075 0.0000 0.0000
0.0000 4.7075 0.0000
0.0000 0.0000 12.3141
ATOMIC_POSITIONS crystal
Tc 0.0000 0.0000 0.0000
Tc 0.5000 0.5000 0.5000
Ge 0.0000 0.0000 0.2041
Ge 0.0000 0.0000 0.7959
Ge 0.0000 0.5000 0.0000
Ge 0.0000 0.5000 0.5000
Ge 0.5000 0.0000 0.0000
Ge 0.5000 0.0000 0.5000
Ge 0.5000 0.5000 0.2959
Ge 0.5000 0.5000 0.7041
Ru 0.0000 0.0000 0.3945
Ru 0.0000 0.0000 0.6055
Ru 0.5000 0.5000 0.1055
Ru 0.5000 0.5000 0.8945
! VASP energy (eV/atom): -6.258
! Symmetry: No. 139
! DFT formation energy (kJ/mol of formula units): 346
! Energy relative to the lowest polymorph listed for this composition (kJ/mol of formula units): 420